(1)
TiIO2F PBE optimized geometry; Fermi-level density of states = 3.93 states/eV per cell
1.0
4.012 0.000 0.000
0.000 4.012 0.000
0.000 0.000 4.217
Ti I O F
1 1 2 1
direct
0.000 0.000 0.000 Ti
0.500 0.500 0.500 I
0.000 0.500 0.000 O
0.500 0.000 0.000 O
0.000 0.000 0.500 F



(2)
TlI2OF PBE optimized geometry; ΔE to the lowest computed polymorph = 0.0000 eV per atom; Fermi-level density of states = 5.15 states/eV per cell
1.0
4.930 0.000 0.000
0.000 4.930 0.000
0.000 0.000 5.913
Tl I O F
1 2 1 1
direct
0.000 0.000 0.000 Tl
0.000 0.500 0.500 I
0.500 0.000 0.500 I
0.500 0.500 0.000 O
0.500 0.500 0.500 F



(3)
Computed, not measured: crystalline Tl3IO6F2 at its relaxed geometry at the PBE level of DFT.

Structure (POSCAR):
```
Tl3IO6F2
1.0
5.926 -3.312 0.000
5.926 3.312 0.000
-0.422 0.000 4.747
Tl I O F
3 1 6 2
direct
0.000 0.000 0.000 Tl
0.000 0.500 0.500 Tl
0.500 0.000 0.500 Tl
0.500 0.500 0.500 I
0.188 0.663 0.725 O
0.336 0.336 0.290 O
0.337 0.812 0.275 O
0.663 0.188 0.725 O
0.664 0.664 0.710 O
0.812 0.337 0.275 O
0.172 0.172 0.783 F
0.828 0.828 0.217 F
```



(4)
TlIOF2 PBE optimized geometry; ΔE to the lowest computed polymorph = 0.0000 eV per atom; Fermi-level density of states = 2.22 states/eV per cell
1.0
5.021 0.000 0.000
0.000 5.021 0.000
0.000 0.000 4.070
Tl I O F
1 1 1 2
direct
0.000 0.000 0.000 Tl
0.500 0.500 0.500 I
0.500 0.500 0.000 O
0.000 0.500 0.500 F
0.500 0.000 0.500 F



(5)
TlIO2F PBE optimized geometry; Fermi-level density of states = 5.40 states/eV per cell
1.0
5.052 0.000 0.000
0.000 5.052 0.000
0.000 0.000 4.247
Tl I O F
1 1 2 1
direct
0.000 0.000 0.000 Tl
0.500 0.500 0.000 I
0.000 0.500 0.500 O
0.500 0.000 0.500 O
0.500 0.500 0.500 F



(6)
TlIO2F PBE optimized geometry; Fermi-level density of states = 1.27 states/eV per cell
1.0
4.080 0.000 0.000
0.000 4.080 0.000
0.000 0.000 5.707
Tl I O F
1 1 2 1
direct
0.000 0.000 0.000 Tl
0.500 0.500 0.500 I
0.000 0.500 0.500 O
0.500 0.000 0.500 O
0.500 0.500 0.000 F



(7)
TlI2OF PBE optimized geometry; ΔE to the lowest computed polymorph = 0.0393 eV per atom; Fermi-level density of states = 13.65 states/eV per cell
1.0
6.300 0.000 0.000
0.000 6.300 0.000
0.000 0.000 3.978
Tl I O F
1 2 1 1
direct
0.000 0.000 0.000 Tl
0.000 0.500 0.000 I
0.500 0.000 0.000 I
0.000 0.000 0.500 O
0.500 0.500 0.500 F



(8)
TlIO2F PBE optimized geometry; Fermi-level density of states = 3.95 states/eV per cell
1.0
4.443 0.000 0.000
0.000 4.443 0.000
0.000 0.000 4.376
Tl I O F
1 1 2 1
direct
0.000 0.000 0.000 Tl
0.500 0.500 0.500 I
0.000 0.500 0.000 O
0.500 0.000 0.000 O
0.000 0.000 0.500 F



(9)
Tl2IO2F4 PBE optimized geometry; Fermi-level density of states = 1.14 states/eV per cell
1.0
5.381 -3.089 0.000
5.381 3.089 0.000
-0.430 0.000 5.005
Tl I O F
2 1 2 4
direct
0.179 0.179 0.322 Tl
0.821 0.821 0.678 Tl
0.500 0.500 0.000 I
0.348 0.348 0.783 O
0.652 0.652 0.217 O
0.187 0.672 0.223 F
0.328 0.813 0.777 F
0.672 0.187 0.223 F
0.813 0.328 0.777 F



(10)
TlIO4F PBE optimized geometry; Fermi-level density of states = 2.16 states/eV per cell
1.0
4.595 -3.830 0.000
4.595 3.830 0.000
-4.167 0.000 8.053
Tl I O F
2 2 8 2
direct
0.169 0.169 0.202 Tl
0.831 0.831 0.798 Tl
0.346 0.346 0.690 I
0.654 0.654 0.310 I
0.121 0.528 0.789 O
0.193 0.193 0.469 O
0.456 0.456 0.311 O
0.472 0.879 0.211 O
0.528 0.121 0.789 O
0.544 0.544 0.689 O
0.807 0.807 0.531 O
0.879 0.472 0.211 O
0.111 0.111 0.935 F
0.889 0.889 0.065 F



(11)
Computed, not measured: crystalline Tl5I2OF at its relaxed geometry at the PBE level of DFT.

Structure (POSCAR):
```
Tl5I2OF
1.0
2.212 -9.784 0.000
2.212 9.784 0.000
0.000 0.000 14.635
Tl I O F
10 4 2 2
direct
0.012 0.988 0.500 Tl
0.178 0.822 0.246 Tl
0.187 0.813 0.870 Tl
0.202 0.798 0.624 Tl
0.427 0.573 0.253 Tl
0.573 0.427 0.753 Tl
0.798 0.202 0.124 Tl
0.813 0.187 0.370 Tl
0.822 0.178 0.746 Tl
0.988 0.012 0.000 Tl
0.350 0.650 0.933 I
0.386 0.614 0.556 I
0.614 0.386 0.056 I
0.650 0.350 0.433 I
0.302 0.698 0.250 O
0.698 0.302 0.750 O
0.071 0.929 0.652 F
0.929 0.071 0.152 F
```



(12)
TlIO2F PBE optimized geometry; Fermi-level density of states = 4.24 states/eV per cell
1.0
4.060 0.000 0.000
0.000 4.060 0.000
0.000 0.000 7.246
Tl I O F
1 1 2 1
direct
0.000 0.000 0.000 Tl
0.000 0.000 0.500 I
0.000 0.500 0.000 O
0.500 0.000 0.000 O
0.500 0.500 0.500 F



For the records above, the corresponding energy relative to the elements, uncorrected values read -1.5431 0.1069 -0.7217 -0.8731 0.4184 -0.6350 0.1462 -0.1160 -1.1811 -0.4761 -0.8152 0.1684 eV/atom.